(1)
LiEuTiO4 | Alexandria | GGA-PBE | relaxed; crystal system = orthorhombic; E = -236.952 eV/cell; N(E_F) = 0.945 states/eV per atom
1.0
12.029 0.000 0.000
0.000 5.349 0.000
0.000 0.000 5.302
Li Eu Ti O
4 4 4 16
direct
0.007 0.250 0.000 Li
0.007 0.250 0.500 Li
0.993 0.750 0.000 Li
0.993 0.750 0.500 Li
0.385 0.016 0.250 Eu
0.385 0.484 0.750 Eu
0.615 0.516 0.250 Eu
0.615 0.984 0.750 Eu
0.211 0.506 0.250 Ti
0.211 0.994 0.750 Ti
0.789 0.006 0.250 Ti
0.789 0.494 0.750 Ti
0.062 0.515 0.250 O
0.062 0.985 0.750 O
0.242 0.250 0.000 O
0.242 0.250 0.500 O
0.259 0.750 0.000 O
0.259 0.750 0.500 O
0.427 0.042 0.750 O
0.427 0.458 0.250 O
0.573 0.542 0.750 O
0.573 0.958 0.250 O
0.741 0.250 0.000 O
0.741 0.250 0.500 O
0.758 0.750 0.000 O
0.758 0.750 0.500 O
0.938 0.015 0.250 O
0.938 0.485 0.750 O

=====

(2)
LiPmEuOs | Alexandria | GGA-PBE | relaxed; crystal system = cubic; ΔH_f (0 K) = 45 meV/atom; N(E_F) = 2.324 states/eV per atom
1.0
0.000 3.553 3.553
3.553 0.000 3.553
3.553 3.553 0.000
Li Pm Eu Os
1 1 1 1
direct
0.000 0.000 0.000 Li
0.750 0.750 0.750 Pm
0.250 0.250 0.250 Eu
0.500 0.500 0.500 Os

=====

(3)
LiEuPuOs | Alexandria | GGA-PBE | relaxed; crystal system = cubic; ΔH_f (0 K) = 192 meV/atom; N(E_F) = 4.759 states/eV per atom
1.0
0.000 3.483 3.483
3.483 0.000 3.483
3.483 3.483 0.000
Li Eu Pu Os
1 1 1 1
direct
0.000 0.000 0.000 Li
0.750 0.750 0.750 Eu
0.250 0.250 0.250 Pu
0.500 0.500 0.500 Os

=====

(4)
LiSmEuOs | Alexandria | GGA-PBE | relaxed; crystal system = cubic; ΔH_f (0 K) = 36 meV/atom; N(E_F) = 2.207 states/eV per atom
1.0
0.000 3.544 3.544
3.544 0.000 3.544
3.544 3.544 0.000
Li Sm Eu Os
1 1 1 1
direct
0.000 0.000 0.000 Li
0.750 0.750 0.750 Sm
0.250 0.250 0.250 Eu
0.500 0.500 0.500 Os

=====

(5)
LiEuTmOs | Alexandria | GGA-PBE | relaxed; crystal system = cubic; ΔH_f (0 K) = -19 meV/atom; N(E_F) = 1.972 states/eV per atom
1.0
0.000 3.485 3.485
3.485 0.000 3.485
3.485 3.485 0.000
Li Eu Tm Os
1 1 1 1
direct
0.000 0.000 0.000 Li
0.750 0.750 0.750 Eu
0.250 0.250 0.250 Tm
0.500 0.500 0.500 Os

=====

(6)
LiEuYOs | Alexandria | GGA-PBE | relaxed; crystal system = cubic; ΔH_f (0 K) = 9 meV/atom; N(E_F) = 2.000 states/eV per atom
1.0
0.000 3.517 3.517
3.517 0.000 3.517
3.517 3.517 0.000
Li Eu Y Os
1 1 1 1
direct
0.000 0.000 0.000 Li
0.750 0.750 0.750 Eu
0.250 0.250 0.250 Y
0.500 0.500 0.500 Os

=====

Please write out number 3 again, unchanged.
LiEuPuOs | Alexandria | GGA-PBE | relaxed; crystal system = cubic; ΔH_f (0 K) = 192 meV/atom; N(E_F) = 4.759 states/eV per atom
1.0
0.000 3.483 3.483
3.483 0.000 3.483
3.483 3.483 0.000
Li Eu Pu Os
1 1 1 1
direct
0.000 0.000 0.000 Li
0.750 0.750 0.750 Eu
0.250 0.250 0.250 Pu
0.500 0.500 0.500 Os

=====

> Among the records above, which one has the highest N(E_F)?

LiEuPuOs

=====

> Which value of N(E_F) does entry 1 give?

0.945 states/eV per atom